Rb2ZrFe GGA-PBE relaxed; final energy = -2.545 eV per atom; symmetry = Fm-3m, No. 225; formation enthalpy at 0 K = 2.19 eV/atom
1.0
0.0000 3.9833 3.9833
3.9833 0.0000 3.9833
3.9833 3.9833 0.0000
Rb Zr Fe
2 1 1
Cartesian
1.9916 1.9916 1.9916
5.9749 5.9749 5.9749
0.0000 0.0000 0.0000
3.9833 3.9833 3.9833

***

RbZrFe3 GGA-PBE relaxed; final energy = -4.651 eV per atom; symmetry = Pm-3m, No. 221; formation enthalpy at 0 K = 2.33 eV/atom
1.0
4.5956 0.0000 0.0000
0.0000 4.5956 0.0000
0.0000 0.0000 4.5956
Rb Zr Fe
1 1 3
Cartesian
0.0000 0.0000 0.0000
2.2978 2.2978 2.2978
0.0000 0.0000 2.2978
0.0000 2.2978 0.0000
2.2978 0.0000 0.0000

***

RbZr3Fe GGA-PBE relaxed; final energy = -6.360 eV per atom; symmetry = Pm-3m, No. 221; formation enthalpy at 0 K = 0.66 eV/atom
1.0
5.0546 0.0000 0.0000
0.0000 5.0546 0.0000
0.0000 0.0000 5.0546
Rb Zr Fe
1 3 1
Cartesian
0.0000 0.0000 0.0000
0.0000 2.5273 2.5273
2.5273 0.0000 2.5273
2.5273 2.5273 0.0000
2.5273 2.5273 2.5273

***

RbZrFe2 GGA-PBE relaxed; final energy = -5.163 eV per atom; symmetry = I4_1/amd, No. 141; formation enthalpy at 0 K = 1.45 eV/atom
1.0
-2.3971 2.3971 8.6540
2.3971 -2.3971 8.6540
2.3971 2.3971 -8.6540
Rb Zr Fe
2 2 4
Cartesian
2.3971 1.1986 2.1635
0.0000 1.1986 6.4905
2.3971 -1.1986 6.4905
0.0000 3.5957 2.1635
0.0000 0.0000 0.0000
1.1986 1.1986 -4.3270
1.1986 -1.1986 4.3270
0.0000 2.3971 0.0000

***

Rb3ZrFe GGA-PBE relaxed; final energy = -2.196 eV per atom; symmetry = Pm-3m, No. 221; formation enthalpy at 0 K = 1.79 eV/atom
1.0
7.6257 0.0000 0.0000
0.0000 7.6257 0.0000
0.0000 0.0000 7.6257
Rb Zr Fe
3 1 1
Cartesian
0.0000 0.0000 3.8128
0.0000 3.8128 0.0000
3.8128 0.0000 0.0000
0.0000 0.0000 0.0000
3.8128 3.8128 3.8128

***

RbZrFe2 GGA-PBE relaxed; final energy = -5.088 eV per atom; symmetry = Fm-3m, No. 225; formation enthalpy at 0 K = 1.52 eV/atom
1.0
0.0000 3.3298 3.3298
3.3298 0.0000 3.3298
3.3298 3.3298 0.0000
Rb Zr Fe
1 1 2
Cartesian
0.0000 0.0000 0.0000
3.3298 3.3298 3.3298
1.6649 1.6649 1.6649
4.9947 4.9947 4.9947

***

FeRe2 GGA-PBE relaxed; final energy = -10.829 eV per atom; symmetry = Immm, No. 71; formation enthalpy at 0 K = 0.29 eV/atom
1.0
-1.3363 2.2490 3.5701
1.3363 -2.2490 3.5701
1.3363 2.2490 -3.5701
Fe Re
1 2
Cartesian
0.0000 0.0000 0.0000
1.3363 0.0000 2.2635
0.0000 2.2490 1.3067

***

FeRe2 GGA-PBE relaxed; final energy = -11.040 eV per atom; symmetry = I4_1/amd, No. 141; formation enthalpy at 0 K = 0.08 eV/atom
1.0
-1.9093 1.9093 11.3208
1.9093 -1.9093 11.3208
1.9093 1.9093 -11.3208
Fe Re
4 8
Cartesian
1.9093 0.9547 0.9234
1.9093 0.9547 4.7370
0.0000 0.9547 6.5839
0.0000 0.9547 10.3974
1.9093 -0.9547 6.5549
1.9093 0.9547 -2.8031
1.9093 -0.9547 10.4264
0.0000 0.9547 2.8573
1.9093 0.9547 8.4635
0.0000 2.8640 0.8944
0.0000 0.9547 14.1239
0.0000 2.8640 4.7660

***

Fe4Re3 GGA-PBE relaxed; final energy = -10.095 eV per atom; symmetry = I4/mmm, No. 139; formation enthalpy at 0 K = 0.08 eV/atom
1.0
-1.4697 1.4697 10.4935
1.4697 -1.4697 10.4935
1.4697 1.4697 -10.4935
Fe Re
4 3
Cartesian
0.0000 0.0000 1.5164
0.0000 0.0000 7.6606
0.0000 0.0000 13.3265
0.0000 0.0000 19.4706
0.0000 0.0000 4.3908
0.0000 0.0000 10.4935
0.0000 0.0000 16.5962

***

Fe5Re4 GGA-PBE relaxed; final energy = -10.128 eV per atom; symmetry = I4/mmm, No. 139; formation enthalpy at 0 K = 0.11 eV/atom
1.0
-3.9230 3.9230 1.8418
3.9230 -3.9230 1.8418
3.9230 3.9230 -1.8418
Fe Re
5 4
Cartesian
0.0000 0.0000 0.0000
2.6597 2.6597 0.0000
1.2633 -1.2633 1.8418
-1.2633 1.2633 1.8418
1.2633 1.2633 1.8418
2.4987 0.0000 0.0000
5.3474 0.0000 0.0000
0.0000 2.4987 0.0000
0.0000 5.3474 0.0000

***

FeRe GGA-PBE relaxed; final energy = -10.063 eV per atom; symmetry = P4/mcc, No. 124; formation enthalpy at 0 K = 0.39 eV/atom
1.0
7.1320 0.0000 0.0000
0.0000 7.1320 0.0000
0.0000 0.0000 4.3976
Fe Re
8 8
Cartesian
0.4672 1.6671 0.0000
0.4672 5.4648 2.1988
1.6671 0.4672 2.1988
1.6671 6.6648 0.0000
5.4648 0.4672 0.0000
5.4648 6.6648 2.1988
6.6648 1.6671 2.1988
6.6648 5.4648 0.0000
1.7132 2.9287 2.1988
1.7132 4.2033 0.0000
2.9287 1.7132 0.0000
2.9287 5.4188 2.1988
4.2033 1.7132 2.1988
4.2033 5.4188 0.0000
5.4188 2.9287 0.0000
5.4188 4.2033 2.1988

***

Fe24Re5 GGA-PBE relaxed; final energy = -9.084 eV per atom; symmetry = I-43m, No. 217; formation enthalpy at 0 K = 0.07 eV/atom
1.0
-4.3989 4.3989 4.3989
4.3989 -4.3989 4.3989
4.3989 4.3989 -4.3989
Fe Re
24 5
Cartesian
4.0275 1.2118 -1.2118
4.0275 -1.2118 1.2118
6.3057 0.8245 -0.8245
6.3057 -0.8245 0.8245
2.4921 0.8245 0.8245
3.5744 3.5744 -1.9068
3.5744 -1.9068 3.5744
4.7702 1.2118 1.2118
1.2118 4.0275 -1.2118
1.2118 -1.2118 4.0275
0.8245 2.4921 0.8245
0.8245 0.8245 2.4921
3.1871 3.1871 0.3714
3.1871 0.3714 3.1871
-1.2118 4.0275 1.2118
-1.2118 1.2118 4.0275
0.8245 6.3057 -0.8245
0.8245 -0.8245 6.3057
1.2118 4.7702 1.2118
1.2118 1.2118 4.7702
0.3714 3.1871 3.1871
-0.8245 6.3057 0.8245
-0.8245 0.8245 6.3057
-1.9068 3.5744 3.5744
0.0000 0.0000 0.0000
1.5912 1.5912 -1.5912
1.5912 -1.5912 1.5912
-1.5912 1.5912 1.5912
2.8077 2.8077 2.8077